# 1
# CoAgSeO, optimized geometry, DFT PBE with a Hubbard U
data_CoAgSeO
_space_group_name_H-M_alt 'P 4/n m m'
_space_group_IT_number 129
_cell_length_a 4.237
_cell_length_b 4.237
_cell_length_c 7.823
_cell_angle_alpha 90.00
_cell_angle_beta 90.00
_cell_angle_gamma 90.00
loop_
_space_group_symop_operation_xyz
'x,y,z'
'-x,-y,-z'
'-y+1/2,x,z'
'y+1/2,-x,-z'
'-x+1/2,-y+1/2,z'
'x+1/2,y+1/2,-z'
'y,-x+1/2,z'
'-y,x+1/2,-z'
'x+1/2,-y,-z'
'-x+1/2,y,z'
'-y,-x,-z'
'y,x,z'
'-x,y+1/2,-z'
'x,-y+1/2,z'
'y+1/2,x+1/2,-z'
'-y+1/2,-x+1/2,z'
loop_
_atom_site_label
_atom_site_type_symbol
_atom_site_fract_x
_atom_site_fract_y
_atom_site_fract_z
Co1 Co 0.250 0.250 0.169
Ag1 Ag 0.250 0.250 0.665
Se1 Se 0.250 0.750 0.000
O1 O 0.250 0.250 0.388
# uncorrected energy	-3.772	eV/atom
# calculated density	6.19	g/cm³

=====

# 2
# CoAgSeO, optimized geometry, DFT PBE with a Hubbard U
data_CoAgSeO
_space_group_name_H-M_alt 'P 63 m c'
_space_group_IT_number 186
_space_group_name_Hall 'P 6c -2c'
_cell_length_a 3.2371
_cell_length_b 3.2371
_cell_length_c 13.8425
_cell_angle_alpha 90.00
_cell_angle_beta 90.00
_cell_angle_gamma 120.00
loop_
_atom_site_label
_atom_site_type_symbol
_atom_site_fract_x
_atom_site_fract_y
_atom_site_fract_z
Co1 Co 0.3333 0.6667 0.0000
Ag1 Ag 0.0000 0.0000 0.2073
Se1 Se 0.3333 0.6667 0.3544
O1 O 0.0000 0.0000 0.0495
# uncorrected energy	-4.407	eV/atom
# calculated density	6.92	g/cm³